FeBiMoRh2 meta-GGA SCAN single point on PBEsol structure; VASP energy = -192.3 eV per cell
1.0
4.582 0.000 0.000
0.000 4.582 0.000
0.000 0.000 5.214
Fe Bi Mo Rh
1 1 1 2
Cartesian
0.000 0.000 0.000
2.291 2.291 0.000
2.291 2.291 2.607
0.000 2.291 2.607
2.291 0.000 2.607